! TcRhW2 | Alexandria | PBE | relaxed; values from VASP
&SYSTEM
  ibrav = 0, nat = 4, ntyp = 3
/
ATOMIC_SPECIES
Rh 102.91 Rh.upf
Tc 98.00 Tc.upf
W 183.84 W.upf
CELL_PARAMETERS angstrom
-1.2266 -2.6974 3.8058
-1.6972 -4.2369 1.5601
4.2206 -2.3015 0.6933
ATOMIC_POSITIONS angstrom
Rh 0.6609 -4.6457 3.0461
Tc 0.3367 -2.2580 1.4772
W -2.8709 -6.9463 5.3630
W 0.8947 -6.9379 4.5684
! Offset from the most stable computed form (meV per atom): 42
! DFT formation energy (eV/atom): 0.049
! Uncorrected energy (eV per atom): -10.86
! Total moment (Bohr magnetons per cell): 0.00


! Co3Br | Alexandria | PBE | relaxed; values from VASP
&SYSTEM
  ibrav = 0, nat = 4, ntyp = 2
/
ATOMIC_SPECIES
Br 79.90 Br.upf
Co 58.93 Co.upf
CELL_PARAMETERS angstrom
-4.1274 1.9944 -1.2157
-0.3011 -4.0586 2.4347
3.4165 2.9883 1.3741
ATOMIC_POSITIONS angstrom
Br 0.0000 0.0000 0.0000
Co -0.3554 2.4914 0.0792
Co -2.2142 -1.0321 0.6095
Co 1.5577 -0.5351 1.9044
! Formation energy from raw total energies (eV per atom): 0.818
! Offset from the most stable computed form (meV per atom): 504
! Uncorrected energy (eV per atom): -4.93
! Total moment (Bohr magnetons per cell): 5.06


! SrFeI | Alexandria | PBE | relaxed; values from VASP
&SYSTEM
  ibrav = 0, nat = 6, ntyp = 3
/
ATOMIC_SPECIES
I 126.90 I.upf
Sr 87.62 Sr.upf
Fe 55.84 Fe.upf
CELL_PARAMETERS angstrom
-2.6846 1.9253 2.7893
-1.5813 -2.5509 -3.1123
0.7182 -8.1629 6.3255
ATOMIC_POSITIONS angstrom
I -1.9872 -3.3136 3.7256
I 0.0292 -0.3319 0.2572
Sr 0.5151 -5.8546 4.5368
Sr -1.7804 -2.9764 0.3409
Fe -1.2956 -8.4866 4.6108
Fe -1.6315 -7.3569 6.8588
! Formation energy from raw total energies (eV per atom): -0.260
! Uncorrected energy (eV per atom): -4.16
! Total moment (Bohr magnetons per cell): 3.98


! Pu3Sc | Alexandria | PBE | relaxed; values from VASP
&SYSTEM
  ibrav = 0, nat = 4, ntyp = 2
/
ATOMIC_SPECIES
Sc 44.96 Sc.upf
Pu 244.00 Pu.upf
CELL_PARAMETERS angstrom
4.7023 0.0000 0.0000
0.0000 4.7023 0.0000
-2.3511 -2.3511 4.6502
ATOMIC_POSITIONS angstrom
Sc 0.0000 0.0000 0.0000
Pu 2.3511 0.0000 2.3251
Pu 0.0000 2.3511 2.3251
Pu 2.3511 2.3511 0.0000
! Offset from the most stable computed form (meV per atom): 36
! DFT formation energy (eV/atom): 0.235
! Uncorrected energy (eV per atom): -12.10
! Total moment (Bohr magnetons per cell): 17.23


! TeP3 | Alexandria | PBE | relaxed; values from VASP
&SYSTEM
  ibrav = 0, nat = 4, ntyp = 2
/
ATOMIC_SPECIES
Te 127.60 Te.upf
P 30.97 P.upf
CELL_PARAMETERS angstrom
3.2233 0.0284 -0.0118
1.6287 4.7870 0.0954
0.0077 2.7243 5.6025
ATOMIC_POSITIONS angstrom
Te 1.6117 0.0142 -0.0059
P 1.6155 1.3764 2.7953
P 3.2270 3.0779 2.3342
P 1.6327 4.4619 3.3519
! Formation energy from raw total energies (eV per atom): 0.318
! Offset from the most stable computed form (meV per atom): 119
! Uncorrected energy (eV per atom): -4.52
! Total moment (Bohr magnetons per cell): 0.00


! LiBeFe | Alexandria | PBE | relaxed; values from VASP
&SYSTEM
  ibrav = 0, nat = 3, ntyp = 3
/
ATOMIC_SPECIES
Be 9.01 Be.upf
Fe 55.84 Fe.upf
Li 6.94 Li.upf
CELL_PARAMETERS angstrom
-0.6702 3.5719 -0.8940
-3.1518 0.9197 -1.7965
-2.6834 1.9037 1.7839
ATOMIC_POSITIONS angstrom
Be -4.8791 4.7964 -0.6800
Fe 0.0000 0.0000 0.0000
Li -3.2527 3.1976 -0.4533
! Offset from the most stable computed form (meV per atom): 517
! DFT formation energy (eV/atom): 0.625
! Uncorrected energy (eV per atom): -4.08
! Total moment (Bohr magnetons per cell): 2.07